[1]
DFT (GGA-PBE) results for an optimized crystal structure of Cs3YTe3.

```
Cs3YTe3
1.0
9.570 0.236 -0.082
-4.052 8.673 -0.082
-0.913 -1.474 9.186
Cs Te Y
6 6 2
direct
0.614 0.614 0.362
0.178 0.822 0.500
0.386 0.386 0.638
0.822 0.178 0.500
0.249 0.751 0.000
0.751 0.249 0.000
0.102 0.102 0.816
0.547 0.843 0.723
0.157 0.453 0.277
0.843 0.547 0.723
0.898 0.898 0.184
0.453 0.157 0.277
0.174 0.174 0.144
0.826 0.826 0.856
```

## Properties
The space-group type is C2/m, No. 12.



[2]
DFT (GGA-PBE) results for an optimized crystal structure of CsY4Te6.

```
CsY4Te6
1.0
4.465 0.000 0.000
-2.233 7.383 0.000
0.000 0.000 23.542
Y Cs Te
8 2 12
direct
0.407 0.813 0.129
0.866 0.731 0.962
0.866 0.731 0.538
0.134 0.269 0.462
0.593 0.187 0.629
0.134 0.269 0.038
0.407 0.813 0.371
0.593 0.187 0.871
0.337 0.673 0.750
0.663 0.327 0.250
0.500 0.000 0.500
0.770 0.541 0.418
0.959 0.919 0.650
0.638 0.275 0.750
0.959 0.919 0.850
0.230 0.459 0.918
0.770 0.541 0.082
0.500 0.000 0.000
0.041 0.081 0.350
0.362 0.725 0.250
0.041 0.081 0.150
0.230 0.459 0.582
```

## Properties
The space-group type is Cmcm, No. 63.



no.,electronic total energy (eV/cell),ΔE_f (raw) (meV per atom)
1,-54.10,-1228
2,-120.87,-1352